No. 1
Entry from Alexandria via LeMat-Bulk: a geometry-optimized LiReAs2Se structure (PBE-GGA).

Computed properties:
- uncorrected formation energy (kJ per mole of atoms) = 28.2

Geometry as CIF:
```
data_LiReAs2Se
_space_group_name_H-M_alt 'P 4/m m m'
_space_group_IT_number 123
_space_group_name_Hall '-P 4 2'
_cell_length_a 4.7229
_cell_length_b 4.7229
_cell_length_c 5.5567
_cell_angle_alpha 90.00
_cell_angle_beta 90.00
_cell_angle_gamma 90.00
loop_
_atom_site_label
_atom_site_fract_x
_atom_site_fract_y
_atom_site_fract_z
Li1 0.0000 0.0000 0.0000
Re1 0.5000 0.5000 0.5000
As1 0.0000 0.5000 0.5000
Se1 0.5000 0.5000 0.0000
```


No. 2
Entry from Alexandria via LeMat-Bulk: a geometry-optimized TbNdEuTl structure (PBE-GGA).

Computed properties:
- formation energy from the elements (eV per atom) = -0.06

Geometry as CIF:
```
data_TbNdEuTl
_space_group_name_H-M_alt 'F -4 3 m'
_space_group_IT_number 216
_space_group_name_Hall 'F -4 2 3'
_cell_length_a 7.9133
_cell_length_b 7.9133
_cell_length_c 7.9133
_cell_angle_alpha 90.00
_cell_angle_beta 90.00
_cell_angle_gamma 90.00
loop_
_atom_site_label
_atom_site_fract_x
_atom_site_fract_y
_atom_site_fract_z
Tb1 0.0000 0.0000 0.0000
Nd1 0.0000 0.0000 0.5000
Eu1 0.2500 0.2500 0.2500
Tl1 0.2500 0.2500 0.7500
```


No. 3
Entry from Alexandria via LeMat-Bulk: a geometry-optimized La8Ga3IrI4 structure (PBE-GGA).

Computed properties:
- uncorrected formation energy (kJ per mole of atoms) = -83.7

Geometry as CIF:
```
data_La8Ga3IrI4
_space_group_name_H-M_alt 'C 1 2/m 1'
_space_group_IT_number 12
_cell_length_a 15.6765
_cell_length_b 8.7582
_cell_length_c 9.4845
_cell_angle_alpha 90.00
_cell_angle_beta 124.16
_cell_angle_gamma 90.00
loop_
_space_group_symop_operation_xyz
'x,y,z'
'-x,-y,-z'
'-x,y,-z'
'x,-y,z'
'x+1/2,y+1/2,z'
'-x+1/2,-y+1/2,-z'
'-x+1/2,y+1/2,-z'
'x+1/2,-y+1/2,z'
loop_
_atom_site_label
_atom_site_fract_x
_atom_site_fract_y
_atom_site_fract_z
La1 0.0134 0.2343 0.3058
La2 0.2339 0.0000 0.7098
La3 0.2386 0.5000 0.7188
Ga1 0.0000 0.5000 0.5000
Ga2 0.2500 0.2500 0.5000
Ir1 0.0000 0.0000 0.5000
I1 0.0000 0.0000 0.0000
I2 0.0000 0.5000 0.0000
I3 0.2500 0.2500 0.0000
```


So what do the calculations give for M_tot? Going down the list: 0.06 1.91 0.00 μB/atom.